AcPa2IrN4: relaxed, PBE.

Values from the calculation:
formation energy without anion corrections	-9.500	eV per formula unit
crystal system	orthorhombic
VASP energy	-149.52	eV/cell
total magnetic moment	0.0	μB per formula unit

a = 3.5648 Å, b = 6.2327 Å, c = 11.8438 Å
α = 90.00°, β = 90.00°, γ = 106.62°
Last column: nearest neighbours and their distance in Å.
Fractional positions:
Pa (0.6318, 0.2637, 0.0583)  6 N 2.24-2.49
N (0.2702, 0.5404, 0.1031)  1 Ir 2.18, 1 Pa 2.24
N (0.5564, 0.1128, 0.2500)  2 Ir 2.17
N (0.4436, 0.8872, 0.7500)  2 Ir 2.17
Ac (0.1040, 0.2081, 0.7500)  6 N 2.62-2.91
Ir (0.8404, 0.6808, 0.7500)  4 N 2.17-2.18
N (0.7298, 0.4596, 0.8969)  1 Ir 2.18, 1 Pa 2.24
N (0.0000, 0.0000, 0.5000)  4 Pa 2.48
Ir (0.1596, 0.3192, 0.2500)  4 N 2.17-2.18
N (0.7298, 0.4596, 0.6031)  1 Ir 2.18, 1 Pa 2.24
Pa (0.3682, 0.7363, 0.9417)  6 N 2.24-2.49
N (0.2702, 0.5404, 0.3969)  1 Ir 2.18, 1 Pa 2.24
Pa (0.3682, 0.7363, 0.5583)  6 N 2.24-2.49
N (0.0000, 0.0000, 0.0000)  4 Pa 2.48
Pa (0.6318, 0.2637, 0.4417)  6 N 2.24-2.49
Ac (0.8960, 0.7919, 0.2500)  6 N 2.62-2.91